Here is a relaxed structure of Ca2FeO4 from the Alexandria database. Energies are from GGA+U.

Geometry as CIF:
```
data_Ca2FeO4
_symmetry_space_group_name_H-M 'P 1 21/m 1'
_symmetry_Int_Tables_number 11
_symmetry_space_group_name_Hall '-P 2yb'
_cell_length_a 5.714
_cell_length_b 5.596
_cell_length_c 6.592
_cell_angle_alpha 90.00
_cell_angle_beta 108.75
_cell_angle_gamma 90.00
loop_
_atom_site_label
_atom_site_type_symbol
_atom_site_fract_x
_atom_site_fract_y
_atom_site_fract_z
Ca1 Ca 0.196 0.250 0.043
Ca2 Ca 0.279 0.250 0.563
Fe1 Fe 0.260 0.750 0.807
O1 O 0.030 0.514 0.750
O2 O 0.460 0.750 0.086
O3 O 0.468 0.750 0.644
```

M_tot, μB per formula unit: 4.00
Uncorrected energy, eV per atom: -6.29
Crystal system: monoclinic